[1]
Computed, not measured: a relaxed Mn4Ag3F12 crystal at the PBE with a Hubbard U level of DFT.

Results
**Calculated volume**: 14.51 Å³/atom
**Spin magnetization**: 38.00 Bohr magnetons per cell

abc: 8.200 8.200 8.200
angles: 90.00 90.00 90.00
Space group Im-3 (No. 204)
Asymmetric unit:
1 Mn 0.250 0.250 0.250 x8
2 Ag 0.000 0.000 0.500 x6
3 F 0.000 0.290 0.217 x24

---

[2]
Computed, not measured: a relaxed MnAgF4 crystal at the PBE with a Hubbard U level of DFT.

Results
**Calculated volume**: 14.73 Å³/atom
**Spin magnetization**: 15.91 Bohr magnetons per cell

abc: 8.226 5.628 7.812
angles: 90.00 102.23 90.00
Space group P2_1/c (No. 14)
Asymmetric unit:
1 Mn 0.167 0.246 0.297 x4
2 Ag 0.363 0.727 0.602 x4
3 F 0.018 0.543 0.214 x4
4 F 0.168 0.171 0.045 x4
5 F 0.328 0.528 0.861 x4
6 F 0.351 0.050 0.812 x4

---

[3]
Computed, not measured: a relaxed Mn2AgF crystal at the PBE with a Hubbard U level of DFT.

Results
**ΔE to the lowest computed polymorph**: 0.00 eV per formula unit
**Calculated volume**: 17.80 Å³/atom
**Spin magnetization**: 39.24 Bohr magnetons per cell

abc: 6.616 6.616 6.507
angles: 90.00 90.00 90.00
Space group I-42d (No. 122)
Asymmetric unit:
1 Mn 0.189 0.750 0.125 x8
2 Ag 0.000 0.000 0.500 x4
3 F 0.000 0.000 0.000 x4

---

N(E_F) in states/eV per cell, matching the order above: 7.67 6.48 6.35
Energy in eV/atom, matching the order above: -5.311 -4.945 -5.377